(1)
Here is a geometry-optimized Th2Zn5Sn structure from Alexandria via LeMat-Bulk. Energies are from PBE.

ΔH_f (0 K): -0.36 eV/atom
magnetic moment: 0.00 Bohr magnetons per cell
space-group type: No. 63
volume: 21.0 A^3/atom

The structure in POSCAR format:
```
Th2Zn5Sn
1.0
2.243 -8.258 0.000
2.243 8.258 0.000
0.000 0.000 9.059
Th Zn Sn
4 10 2
Cartesian
0.000 0.000 0.000
0.000 0.000 4.530
2.243 4.879 6.795
2.243 -4.879 2.265
2.243 5.216 0.962
2.243 5.216 3.568
2.243 2.581 0.146
2.243 2.581 4.384
2.243 1.732 6.795
2.243 -1.732 2.265
2.243 -2.581 4.676
2.243 -2.581 8.913
2.243 -5.216 5.491
2.243 -5.216 8.098
2.243 0.905 2.265
2.243 -0.905 6.795
```

***

(2)
Here is a geometry-optimized ThZn2Sn2 structure from Alexandria via LeMat-Bulk. Energies are from PBE.

ΔH_f (0 K): -0.31 eV/atom
magnetic moment: 0.00 Bohr magnetons per cell
space-group type: No. 63
volume: 23.0 A^3/atom

The structure in POSCAR format:
```
ThZn2Sn2
1.0
2.263 -11.153 0.000
2.263 11.153 0.000
0.000 0.000 4.554
Th Zn Sn
2 4 4
Cartesian
2.263 8.067 3.416
2.263 -8.067 1.139
2.263 10.522 1.139
2.263 0.766 1.139
2.263 -0.766 3.416
2.263 -10.522 3.416
2.263 5.580 1.139
2.263 2.558 3.416
2.263 -2.558 1.139
2.263 -5.580 3.416
```

***

(3)
Here is a geometry-optimized Th2ZnSn4 structure from Alexandria via LeMat-Bulk. Energies are from PBE.

ΔH_f (0 K): -0.39 eV/atom
magnetic moment: 0.00 Bohr magnetons per cell
space-group type: No. 115
volume: 27.6 A^3/atom

The structure in POSCAR format:
```
Th2ZnSn4
1.0
4.475 0.000 0.000
0.000 4.475 0.000
0.000 0.000 9.656
Th Zn Sn
2 1 4
Cartesian
0.000 2.237 2.284
2.237 0.000 7.372
2.237 2.237 0.000
0.000 0.000 4.828
0.000 2.237 8.120
2.237 0.000 1.536
2.237 2.237 4.828
```

***

Which value of magnetic moment does entry 1 give? 0.00 Bohr magnetons per cell